No. 1
PBE-GGA SrNiTe2N, optimized geometry; E_form (uncorrected) = 1.300 eV per atom; energy above the most stable polymorph in this dataset = 1477 meV/atom; density = 3.81 g cm⁻³; spin magnetization = 3.82 Bohr magnetons per cell; calculated total energy = -15.6 eV/cell
1.0
6.175 0.000 0.000
0.000 6.175 0.000
0.000 0.000 4.753
Sr Ni Te N
1 1 2 1
Cartesian
0.000 0.000 0.000
3.087 3.087 2.377
0.000 3.087 0.000
3.087 0.000 0.000
0.000 0.000 2.377



No. 2
PBE-GGA AcLa2Zn2Sn2, optimized geometry; density = 7.32 g cm⁻³; spin magnetization = 0.00 Bohr magnetons per cell; calculated total energy = -27.5 eV/cell; ΔH_f (0 K) = -0.4237 eV per atom
1.0
2.362 1.364 10.239
-2.362 1.364 10.239
0.000 -2.728 10.239
Ac La Zn Sn
1 2 2 2
Cartesian
0.000 0.000 0.000
0.000 0.000 4.159
0.000 0.000 26.559
0.000 0.000 12.883
0.000 0.000 17.836
0.000 0.000 8.076
0.000 0.000 22.642



No. 3
PBE-GGA CsCrS3, optimized geometry; E_form (uncorrected) = -0.294 eV per atom; energy above the most stable polymorph in this dataset = 471 meV/atom; density = 4.43 g cm⁻³; spin magnetization = 0.00 Bohr magnetons per cell; calculated total energy = -24.3 eV/cell
1.0
4.725 0.000 0.000
0.000 4.725 0.000
0.000 0.000 4.725
Cs Cr S
1 1 3
Cartesian
0.000 0.000 0.000
2.362 2.362 2.362
0.000 2.362 2.362
2.362 0.000 2.362
2.362 2.362 0.000



No. 4
PBE-GGA Ac7TbNd12, optimized geometry; density = 6.40 g cm⁻³; spin magnetization = 0.00 Bohr magnetons per cell; calculated total energy = -74.6 eV/cell; ΔH_f (0 K) = 0.7996 eV per atom
1.0
-6.088 6.088 6.088
6.088 -6.088 6.088
6.088 6.088 -6.088
Ac Tb Nd
7 1 12
Cartesian
3.044 3.044 -3.044
3.044 -3.044 3.044
6.088 0.000 0.000
-3.044 3.044 3.044
0.000 6.088 0.000
0.000 0.000 6.088
3.044 3.044 3.044
0.000 0.000 0.000
6.088 3.133 -2.128
3.960 0.000 2.956
8.216 0.000 2.956
2.956 3.960 0.000
3.133 -2.128 6.088
6.088 3.133 2.128
0.000 2.956 3.960
2.956 8.216 0.000
3.133 2.128 6.088
-2.128 6.088 3.133
2.128 6.088 3.133
0.000 2.956 8.216



No. 5
PBE-GGA LiZn3Ag4, optimized geometry; energy above the most stable polymorph in this dataset = 29 meV/atom; density = 8.02 g cm⁻³; spin magnetization = 0.00 Bohr magnetons per cell; calculated total energy = -17.7 eV/cell; ΔH_f (0 K) = -0.0745 eV per atom
1.0
9.068 -1.442 0.000
9.068 1.442 0.000
-0.514 0.000 5.023
Li Zn Ag
1 3 4
Cartesian
0.000 0.000 0.000
4.181 0.000 3.720
8.811 0.000 2.512
13.442 0.000 1.304
2.008 0.000 1.873
6.692 0.000 0.621
10.930 0.000 4.403
15.614 0.000 3.151



No. 6
PBE-GGA TbTh2Ge, optimized geometry; energy above the most stable polymorph in this dataset = 140 meV/atom; density = 9.16 g cm⁻³; spin magnetization = 0.00 Bohr magnetons per cell; calculated total energy = -24.6 eV/cell; ΔH_f (0 K) = -0.1278 eV per atom
1.0
1.951 1.126 9.568
-1.951 1.126 9.568
0.000 -2.253 9.568
Tb Th Ge
1 2 1
Cartesian
0.000 0.000 0.000
0.000 0.000 6.688
0.000 0.000 22.017
0.000 0.000 14.353



No. 7
PBE-GGA NaTaCd, optimized geometry; energy above the most stable polymorph in this dataset = 699 meV/atom; density = 8.05 g cm⁻³; spin magnetization = 0.00 Bohr magnetons per cell; calculated total energy = -11.6 eV/cell; ΔH_f (0 K) = 0.8364 eV per atom
1.0
5.245 0.000 0.000
-2.623 4.543 0.000
0.000 0.000 2.740
Na Ta Cd
1 1 1
Cartesian
0.000 0.000 0.000
2.623 1.514 1.370
0.000 3.028 1.370



No. 8
PBE-GGA AcTb2Al, optimized geometry; energy above the most stable polymorph in this dataset = 0 meV/atom; density = 7.72 g cm⁻³; spin magnetization = 0.00 Bohr magnetons per cell; calculated total energy = -17.7 eV/cell; ΔH_f (0 K) = -0.1528 eV per atom
1.0
3.643 0.000 0.000
0.000 3.643 0.000
0.000 0.000 9.264
Ac Tb Al
1 2 1
Cartesian
0.000 0.000 0.000
1.822 1.822 2.788
1.822 1.822 6.476
0.000 0.000 4.632



No. 9
PBE-GGA LiAc2O2F2, optimized geometry; E_form (uncorrected) = -3.208 eV per atom; density = 6.24 g cm⁻³; spin magnetization = 0.24 Bohr magnetons per cell; calculated total energy = -46.2 eV/cell
1.0
4.188 0.000 0.000
-2.094 3.627 0.000
0.000 0.000 9.298
Li Ac O F
1 2 2 2
Cartesian
0.000 0.000 0.000
0.000 2.418 6.235
2.094 1.209 3.063
0.000 2.418 3.755
2.094 1.209 5.543
0.000 0.000 1.914
0.000 0.000 7.384



No. 10
PBE-GGA Sr2As4Rh5, optimized geometry; density = 7.63 g cm⁻³; spin magnetization = 0.00 Bohr magnetons per cell; calculated total energy = -66.3 eV/cell; ΔH_f (0 K) = -0.6890 eV per atom
1.0
0.000 5.135 7.384
2.840 0.000 7.384
2.840 5.135 0.000
Sr As Rh
2 4 5
Cartesian
2.840 5.135 1.945
2.840 5.135 12.822
2.840 3.460 5.520
2.840 3.460 9.248
2.840 6.810 5.520
2.840 6.810 9.248
1.420 2.568 0.000
1.420 2.568 3.692
1.420 2.568 7.384
2.840 5.135 7.384
4.259 7.703 11.075